{
  "formula": "CsBa2PuO6",
  "functional": "PBE-GGA",
  "state": "relaxed",
  "sg": "P2_1/c (14)",
  "e_form_raw_ev_per_atom": -2.536,
  "lattice": [[6.3343, 0.0000, 0.0000], [0.0000, 6.8847, 0.0000], [-6.2218, 0.0000, 9.3546]],
  "species": ["Cs", "Cs", "Ba", "Ba", "Ba", "Ba", "Pu", "Pu", "O", "O", "O", "O", "O", "O", "O", "O", "O", "O", "O", "O"],
  "frac_coords": [[0.0000, 0.0000, 0.0000], [0.0000, 0.5000, 0.5000], [0.2203, 0.0240, 0.7269], [0.2203, 0.4760, 0.2269], [0.7797, 0.5240, 0.7731], [0.7797, 0.9760, 0.2731], [0.5000, 0.0000, 0.5000], [0.5000, 0.5000, 0.0000], [0.2113, 0.1460, 0.4847], [0.2113, 0.3540, 0.9847], [0.2424, 0.7102, 0.8774], [0.2424, 0.7898, 0.3774], [0.4423, 0.1289, 0.3214], [0.4423, 0.3711, 0.8214], [0.5577, 0.6289, 0.1786], [0.5577, 0.8711, 0.6786], [0.7576, 0.2102, 0.6226], [0.7576, 0.2898, 0.1226], [0.7887, 0.6460, 0.0153], [0.7887, 0.8540, 0.5153]]
}